Entry 1:
Below is a relaxed HoSc2Ni2 crystal, with properties calculated at the PBE level.

```
HoSc2Ni2
1.0
3.5652 0.0000 0.0000
-1.7826 6.4419 0.0000
0.0000 0.0000 8.5863
Ni Sc Ho
4 4 2
Direct
0.0471 0.0943 0.5186 Ni
0.9529 0.9057 0.0186 Ni
0.7642 0.5283 0.1829 Ni
0.2358 0.4717 0.6829 Ni
0.8868 0.7736 0.6886 Sc
0.1132 0.2264 0.1886 Sc
0.6857 0.3714 0.4741 Sc
0.3143 0.6286 0.9741 Sc
0.5898 0.1795 0.8403 Ho
0.4102 0.8205 0.3403 Ho
```

As for the density: 6.269 Mg/m³. The calculation puts the total magnetization at 0.00 μB per atom. The calculated volume is 197 Å³/cell. The formation energy from the elements comes out at -0.34 eV/atom.



Entry 2:
Below is a relaxed HoSc3Ni8 crystal, with properties calculated at the PBE level.

```
HoSc3Ni8
1.0
4.9418 0.0000 0.0000
-2.4709 4.2797 0.0000
0.0000 0.0000 8.0447
Ni Sc Ho
8 3 1
Direct
0.5015 0.4985 0.7540 Ni
0.9970 0.4985 0.7540 Ni
0.1662 0.8338 0.2469 Ni
0.1662 0.3324 0.2469 Ni
0.5015 0.0030 0.7540 Ni
0.6676 0.8338 0.2469 Ni
0.3333 0.6667 0.4996 Ni
0.3333 0.6667 0.9996 Ni
0.0000 0.0000 0.9443 Sc
0.6667 0.3333 0.4273 Sc
0.6667 0.3333 0.0602 Sc
0.0000 0.0000 0.5661 Ho
```

As for the density: 7.509 Mg/m³. The excess energy over the best structure of this formula in the dataset is 16 meV per atom. The calculation puts the total magnetization at 0.00 μB per atom. The calculated volume is 170 Å³/cell. The formation energy from the elements comes out at -0.49 eV/atom.



Entry 3:
Below is a relaxed HoScNi2 crystal, with properties calculated at the PBE level.

```
HoScNi2
1.0
3.5988 0.0000 -0.0259
0.0000 4.1062 0.0000
-1.7701 0.0000 4.9445
Ni Sc Ho
2 1 1
Direct
0.1586 0.5000 0.8572 Ni
0.0134 0.0000 0.5656 Ni
0.7196 0.0000 0.9781 Sc
0.4394 0.5000 0.4171 Ho
```

As for the density: 7.457 Mg/m³. The excess energy over the best structure of this formula in the dataset is 0 meV per atom. The calculation puts the total magnetization at 0.00 μB per atom. The calculated volume is 73 Å³/cell. The formation energy from the elements comes out at -0.46 eV/atom.



Entry 4:
Below is a relaxed Ho12ScNi6 crystal, with properties calculated at the PBE level.

```
Ho12ScNi6
1.0
-2.7968 -7.7546 -1.7678
0.8046 4.3951 -7.1496
7.4892 -0.5204 3.8370
Ho Ni Sc
12 6 1
Direct
0.3072 0.4918 0.1846 Ho
0.1227 0.8154 0.3072 Ho
0.8154 0.6928 0.5082 Ho
0.6928 0.5082 0.8154 Ho
0.6928 0.8773 0.1846 Ho
0.1846 0.3072 0.4918 Ho
0.8154 0.3072 0.1227 Ho
0.4918 0.1846 0.3072 Ho
0.3072 0.1227 0.8154 Ho
0.1846 0.6928 0.8773 Ho
0.5082 0.8154 0.6928 Ho
0.8773 0.1846 0.6928 Ho
0.5000 0.8766 0.3766 Ni
0.8766 0.3766 0.5000 Ni
0.5000 0.1234 0.6234 Ni
0.3766 0.5000 0.8766 Ni
0.1234 0.6234 0.5000 Ni
0.6234 0.5000 0.1234 Ni
0.0000 0.0000 0.0000 Sc
```

As for the density: 8.553 Mg/m³. The calculation puts the total magnetization at 0.10 μB per atom. The calculated volume is 461 Å³/cell. The formation energy from the elements comes out at -0.25 eV/atom.



Entry 5:
Below is a relaxed HoSc3Ni8 crystal, with properties calculated at the PBE level.

```
HoSc3Ni8
1.0
-4.1662 -0.7698 -2.5108
-1.2613 -4.5692 -1.3363
-5.8227 -2.7021 5.6601
Ni Sc Ho
8 3 1
Direct
0.6876 0.6876 0.9371 Ni
0.1873 0.1873 0.4380 Ni
0.4350 0.9371 0.6908 Ni
0.9371 0.9371 0.6908 Ni
0.4387 0.4387 0.1832 Ni
0.9371 0.4350 0.6908 Ni
0.9394 0.4387 0.1832 Ni
0.4387 0.9394 0.1832 Ni
0.0024 0.0024 0.9929 Sc
0.4970 0.4970 0.5091 Sc
0.3738 0.3738 0.8785 Sc
0.8759 0.8759 0.3723 Ho
```

As for the density: 7.535 Mg/m³. The excess energy over the best structure of this formula in the dataset is 0 meV per atom. The calculation puts the total magnetization at 0.00 μB per atom. The calculated volume is 170 Å³/cell. The formation energy from the elements comes out at -0.50 eV/atom.



Entry 6:
Below is a relaxed HoSc3Ni4 crystal, with properties calculated at the PBE level.

```
HoSc3Ni4
1.0
-1.8128 1.9006 -3.6983
0.8630 -1.7402 -4.0991
-6.3034 -4.4165 -1.9618
Sc Ni Ho
3 4 1
Direct
0.5000 0.5000 0.5000 Sc
0.2473 0.2473 0.2581 Sc
0.7527 0.7527 0.7419 Sc
0.6188 0.6188 0.1436 Ni
0.3812 0.3812 0.8564 Ni
0.1275 0.1275 0.6176 Ni
0.8725 0.8725 0.3824 Ni
0.0000 0.0000 0.0000 Ho
```

As for the density: 6.643 Mg/m³. The calculation puts the total magnetization at 0.00 μB per atom. The calculated volume is 134 Å³/cell. The formation energy from the elements comes out at -0.47 eV/atom.



Entry 7:
Below is a relaxed HoSc3Ni2 crystal, with properties calculated at the PBE level.

```
HoSc3Ni2
1.0
3.4550 0.0000 0.0000
0.0000 7.9766 0.0000
0.0000 0.0000 8.9116
Sc Ni Ho
6 4 2
Direct
0.0000 0.9909 0.0633 Sc
0.5000 0.6714 0.2064 Sc
0.5000 0.1714 0.7936 Sc
0.0000 0.8296 0.7217 Sc
0.0000 0.4909 0.9367 Sc
0.0000 0.3296 0.2783 Sc
0.5000 0.7680 0.9252 Ni
0.0000 0.7304 0.4189 Ni
0.0000 0.2304 0.5811 Ni
0.5000 0.2680 0.0748 Ni
0.5000 0.0097 0.4293 Ho
0.5000 0.5097 0.5707 Ho
```

As for the density: 5.641 Mg/m³. The calculation puts the total magnetization at 0.00 μB per atom. The calculated volume is 246 Å³/cell. The formation energy from the elements comes out at -0.32 eV/atom.



Entry 8:
Below is a relaxed Ho6Sc2Ni crystal, with properties calculated at the PBE level.

```
Ho6Sc2Ni
1.0
-1.5617 -0.9782 2.9836
6.9704 -4.5499 2.1568
-0.3034 8.9816 2.7865
Sc Ho Ni
2 6 1
Direct
0.4998 0.3156 0.6312 Sc
0.5002 0.6844 0.3688 Sc
0.0000 0.6617 0.6776 Ho
0.0000 0.0159 0.6776 Ho
0.0000 0.3383 0.3224 Ho
0.5000 0.2688 0.0000 Ho
0.0000 0.9841 0.3224 Ho
0.5000 0.7312 0.0000 Ho
0.0000 0.0000 0.0000 Ni
```

As for the density: 7.489 Mg/m³. The calculation puts the total magnetization at 0.00 μB per atom. The calculated volume is 252 Å³/cell. The formation energy from the elements comes out at 0.13 eV/atom.



Entry 9:
Below is a relaxed HoSc2Ni crystal, with properties calculated at the PBE level.

```
HoSc2Ni
1.0
4.5191 -0.0018 0.0000
-2.2615 5.5148 0.0000
0.0000 0.0000 7.0989
Ho Sc Ni
2 4 2
Direct
0.9522 0.9045 0.2500 Ho
0.0478 0.0955 0.7500 Ho
0.6568 0.3136 0.0383 Sc
0.6568 0.3136 0.4617 Sc
0.3432 0.6864 0.5383 Sc
0.3432 0.6864 0.9617 Sc
0.1990 0.3972 0.2500 Ni
0.8010 0.6028 0.7500 Ni
```

As for the density: 5.887 Mg/m³. The excess energy over the best structure of this formula in the dataset is 24 meV per atom. The calculation puts the total magnetization at 0.00 μB per atom. The calculated volume is 177 Å³/cell. The formation energy from the elements comes out at -0.24 eV/atom.



Entry 10:
Below is a relaxed HoSc4Ni5 crystal, with properties calculated at the PBE level.

```
HoSc4Ni5
1.0
-0.2991 -2.0661 2.3965
1.6690 -2.1481 -1.6436
13.8045 5.6683 6.6099
Ni Sc Ho
5 4 1
Direct
0.5000 0.5000 0.6947 Ni
0.5000 0.5000 0.5000 Ni
0.5000 0.5000 0.1136 Ni
0.5000 0.5000 0.8864 Ni
0.5000 0.5000 0.3053 Ni
0.0000 0.0000 0.7930 Sc
0.0000 0.0000 0.5974 Sc
0.0000 0.0000 0.4026 Sc
0.0000 0.0000 0.2070 Sc
0.0000 0.0000 0.0000 Ho
```

As for the density: 6.428 Mg/m³. The calculation puts the total magnetization at 0.00 μB per atom. The calculated volume is 165 Å³/cell. The formation energy from the elements comes out at -0.47 eV/atom.



Entry 11:
Below is a relaxed HoScNiSn crystal, with properties calculated at the PBE level.

```
HoScNiSn
1.0
-2.0763 -4.4518 -0.4932
1.4131 -3.7201 2.9217
-3.0554 -1.6986 3.4860
Sn Sc Ho Ni
1 1 1 1
Direct
0.7500 0.7500 0.7500 Sn
0.5000 0.5000 0.5000 Sc
0.0000 0.0000 0.0000 Ho
0.2500 0.2500 0.2500 Ni
```

As for the density: 7.559 Mg/m³. The calculation puts the total magnetization at 0.00 μB per atom. The calculated volume is 85 Å³/cell. The formation energy from the elements comes out at -0.45 eV/atom.



Entry 12:
Below is a relaxed TbHoScNi crystal, with properties calculated at the PBE level.

```
TbHoScNi
1.0
5.0815 0.0000 0.0000
2.5407 4.4007 0.0000
2.5407 1.4669 4.1490
Sc Ni Tb Ho
1 1 1 1
Direct
0.5000 0.5000 0.5000 Sc
0.0000 0.0000 0.0000 Ni
0.7500 0.7500 0.7500 Tb
0.2500 0.2500 0.2500 Ho
```

As for the density: 7.651 Mg/m³. The calculation puts the total magnetization at 0.00 μB per atom. The calculated volume is 93 Å³/cell. The formation energy from the elements comes out at 0.10 eV/atom.



Entry 13:
Below is a relaxed HoScTlNi crystal, with properties calculated at the PBE level.

```
HoScTlNi
1.0
4.9624 0.0000 0.0000
2.4812 4.2976 0.0000
2.4812 1.4325 4.0518
Ni Tl Ho Sc
1 1 1 1
Direct
0.2500 0.2500 0.2500 Ni
0.7500 0.7500 0.7500 Tl
0.0000 0.0000 0.0000 Ho
0.5000 0.5000 0.5000 Sc
```

As for the density: 9.089 Mg/m³. The calculation puts the total magnetization at 0.00 μB per atom. The calculated volume is 86 Å³/cell. The formation energy from the elements comes out at -0.25 eV/atom.



Entry 14:
Below is a relaxed HoTmScNi crystal, with properties calculated at the PBE level.

```
HoTmScNi
1.0
-4.1556 2.7354 0.8398
-2.6961 -0.7326 4.2012
-0.0215 3.5069 3.6273
Sc Ni Tm Ho
1 1 1 1
Direct
0.5000 0.5000 0.5000 Sc
0.0000 0.0000 0.0000 Ni
0.7500 0.7500 0.7500 Tm
0.2500 0.2500 0.2500 Ho
```

As for the density: 8.000 Mg/m³. The calculation puts the total magnetization at 0.00 μB per atom. The calculated volume is 91 Å³/cell. The formation energy from the elements comes out at 0.08 eV/atom.



Entry 15:
Below is a relaxed Ho2Ni2Se crystal, with properties calculated at the PBE level.

```
Ho2Ni2Se
1.0
-0.6897 2.2506 -3.1770
1.0199 -3.7937 -0.4489
-7.0889 -2.1956 2.4451
Ho Ni Se
2 2 1
Direct
0.1640 0.5820 0.7460 Ho
0.8360 0.4180 0.2540 Ho
0.6610 0.8305 0.4915 Ni
0.3390 0.1695 0.5085 Ni
0.0000 0.0000 0.0000 Se
```

For the uncorrected formation energy, the calculation gives -982 meV per atom. As for the density: 8.636 Mg/m³. The calculation puts the total magnetization at 0.05 μB per atom. The calculated volume is 101 Å³/cell.



Entry 16:
Below is a relaxed Ho3NiSe2 crystal, with properties calculated at the PBE level.

```
Ho3NiSe2
1.0
3.7233 0.0000 -1.0549
-0.6060 5.3453 -2.1390
0.0140 -0.2731 7.1478
Se Ho Ni
2 3 1
Direct
0.3259 0.8259 0.6517 Se
0.6741 0.1741 0.3483 Se
0.3529 0.3529 0.7057 Ho
0.6471 0.6471 0.2943 Ho
0.0000 0.0000 0.0000 Ho
0.0000 0.5000 0.0000 Ni
```

For the uncorrected formation energy, the calculation gives -1250 meV per atom. As for the density: 8.439 Mg/m³. The calculation puts the total magnetization at 0.00 μB per atom. The calculated volume is 140 Å³/cell.



Entry 17:
Below is a relaxed Ho5NiSe4 crystal, with properties calculated at the PBE level.

```
Ho5NiSe4
1.0
5.1824 0.0000 2.4996
2.5912 6.3922 1.2498
-0.1858 0.0000 7.0073
Ho Se Ni
5 4 1
Direct
0.7222 0.1830 0.3747 Ho
0.2799 0.8170 0.6253 Ho
0.9052 0.3747 0.8170 Ho
0.0969 0.6253 0.1830 Ho
0.5010 0.0000 0.0000 Ho
0.1943 0.2153 0.3981 Se
0.4096 0.3981 0.7847 Se
0.8077 0.7847 0.6019 Se
0.5924 0.6019 0.2153 Se
0.0011 0.0000 0.0000 Ni
```

For the uncorrected formation energy, the calculation gives -1475 meV per atom. As for the density: 8.470 Mg/m³. The calculation puts the total magnetization at 0.00 μB per atom. The calculated volume is 235 Å³/cell.



Entry 18:
Below is a relaxed Ho3Ni5Se12 crystal, with properties calculated at the PBE level.

```
Ho3Ni5Se12
1.0
-9.5216 -0.1562 9.0588
2.3332 -12.2623 -4.1155
10.9558 5.0200 5.2456
Se Ho Ni
48 12 20
Direct
0.8247 0.9154 0.2967 Se
0.6186 0.0280 0.2033 Se
0.4094 0.0280 0.3247 Se
0.5906 0.9720 0.6753 Se
0.6753 0.4720 0.5906 Se
0.8247 0.9094 0.0280 Se
0.4720 0.7967 0.8814 Se
0.0846 0.9094 0.3814 Se
0.5280 0.3247 0.9094 Se
0.0906 0.9154 0.1186 Se
0.5906 0.6186 0.4154 Se
0.9154 0.0906 0.6186 Se
0.3247 0.5280 0.4094 Se
0.7033 0.1186 0.0280 Se
0.3814 0.9720 0.7967 Se
0.6186 0.5906 0.9154 Se
0.9154 0.8247 0.7967 Se
0.2967 0.8814 0.9720 Se
0.0906 0.1753 0.4720 Se
0.0280 0.4094 0.8247 Se
0.6753 0.2033 0.5846 Se
0.9720 0.3814 0.2967 Se
0.4154 0.1186 0.5906 Se
0.9094 0.8247 0.5280 Se
0.9094 0.0846 0.8814 Se
0.9720 0.5906 0.1753 Se
0.1186 0.7033 0.5280 Se
0.2033 0.5280 0.6186 Se
0.3247 0.7967 0.4154 Se
0.1753 0.0906 0.9720 Se
0.2967 0.4154 0.8247 Se
0.4094 0.3814 0.5846 Se
0.0846 0.1753 0.2033 Se
0.3814 0.4094 0.0846 Se
0.8814 0.2967 0.4720 Se
0.7967 0.4720 0.3814 Se
0.5846 0.7033 0.6753 Se
0.1753 0.0846 0.7033 Se
0.7033 0.5846 0.1753 Se
0.7967 0.3247 0.9154 Se
0.5846 0.8814 0.4094 Se
0.5280 0.2033 0.1186 Se
0.8814 0.5846 0.9094 Se
0.1186 0.4154 0.0906 Se
0.0280 0.6186 0.7033 Se
0.4154 0.2967 0.3247 Se
0.4720 0.6753 0.0906 Se
0.2033 0.6753 0.0846 Se
0.7500 0.8750 0.6250 Ho
0.3750 0.7500 0.6250 Ho
0.8750 0.1250 0.2500 Ho
0.1250 0.8750 0.7500 Ho
0.2500 0.6250 0.8750 Ho
0.1250 0.2500 0.8750 Ho
0.7500 0.3750 0.1250 Ho
0.8750 0.7500 0.1250 Ho
0.6250 0.3750 0.7500 Ho
0.6250 0.2500 0.3750 Ho
0.3750 0.6250 0.2500 Ho
0.2500 0.1250 0.3750 Ho
0.5000 0.5000 0.5000 Ni
0.5000 0.0000 0.0000 Ni
0.3750 0.2500 0.1250 Ni
0.2500 0.3750 0.6250 Ni
0.6250 0.8750 0.2500 Ni
0.2500 0.8750 0.1250 Ni
0.0000 0.5000 0.0000 Ni
0.8750 0.2500 0.6250 Ni
0.1250 0.7500 0.3750 Ni
0.0000 0.5000 0.5000 Ni
0.5000 0.0000 0.5000 Ni
0.7500 0.6250 0.3750 Ni
0.0000 0.0000 0.0000 Ni
0.5000 0.5000 0.0000 Ni
0.7500 0.1250 0.8750 Ni
0.0000 0.0000 0.5000 Ni
0.8750 0.6250 0.7500 Ni
0.3750 0.1250 0.7500 Ni
0.6250 0.7500 0.8750 Ni
0.1250 0.3750 0.2500 Ni
```

For the uncorrected formation energy, the calculation gives -729 meV per atom. As for the density: 6.596 Mg/m³. The calculation puts the total magnetization at 0.00 μB per atom. The calculated volume is 1748 Å³/cell.



Entry 19:
Below is a relaxed Ho4NiSe2 crystal, with properties calculated at the PBE level.

```
Ho4NiSe2
1.0
-0.2607 -3.6799 0.9550
6.5923 1.6489 0.5504
-2.0068 3.5896 13.2833
Ho Ni Se
8 2 4
Direct
0.9590 0.9179 0.7500 Ho
0.0410 0.0821 0.2500 Ho
0.5000 0.0000 0.0000 Ho
0.7929 0.5858 0.3708 Ho
0.2071 0.4142 0.6292 Ho
0.7929 0.5858 0.1292 Ho
0.2071 0.4142 0.8708 Ho
0.5000 0.0000 0.5000 Ho
0.3917 0.7835 0.2500 Ni
0.6083 0.2165 0.7500 Ni
0.1423 0.2846 0.4335 Se
0.8577 0.7154 0.9335 Se
0.1423 0.2846 0.0665 Se
0.8577 0.7154 0.5665 Se
```

For the uncorrected formation energy, the calculation gives -1085 meV per atom. As for the density: 8.390 Mg/m³. The calculation puts the total magnetization at 0.00 μB per atom. The calculated volume is 347 Å³/cell.



Entry 20:
Below is a relaxed Ho4NiTe2Se crystal, with properties calculated at the PBE level.

```
Ho4NiTe2Se
1.0
-3.1137 2.5578 -0.3632
0.0771 -0.9389 -7.2718
-4.5291 -5.0946 2.9489
Te Ni Ho Se
2 1 4 1
Direct
0.5000 0.0000 0.5000 Te
0.0000 0.5000 0.5000 Te
0.5000 0.5000 0.0000 Ni
0.5000 0.7463 0.7807 Ho
0.0000 0.2860 0.7966 Ho
0.5000 0.2537 0.2193 Ho
0.0000 0.7140 0.2034 Ho
0.0000 0.0000 0.0000 Se
```

For the uncorrected formation energy, the calculation gives -1183 meV per atom. As for the density: 8.350 Mg/m³. The calculation puts the total magnetization at 0.00 μB per atom. The calculated volume is 209 Å³/cell.